[1]
## Y2Co (GGA-PBEsol)

Data for a geometry-optimized Y2Co structure.

abc: 6.205 6.205 6.485
angles: 90.00 90.00 146.88
Positions (direct):
Y 0.013 0.987 0.500
Y 0.277 0.723 0.311
Y 0.723 0.277 0.811
Y 0.987 0.013 0.000
Co 0.384 0.616 0.719
Co 0.616 0.384 0.219

## Properties
The value obtained for the total energy is -7.24 eV per atom. The value obtained for the formation energy is -0.1131 eV per atom. Its density of states at the Fermi level is 0.80 states/eV per atom.

[2]
## BaLaCl (GGA-PBEsol)

Data for a geometry-optimized BaLaCl structure.

abc: 8.390 7.990 3.868
angles: 82.19 70.64 27.18
Positions (direct):
Ba 0.000 0.000 0.000
La 0.701 0.701 0.299
Cl 0.341 0.341 0.659

## Properties
The value obtained for the total energy is -4.06 eV per atom. The energy relative to the elements, uncorrected is -0.891 eV/atom. Its density of states at the Fermi level is 0.78 states/eV per atom. The value obtained for the excess energy over the best structure of this formula in the dataset is 0 meV per atom.

[3]
## TiReC2 (GGA-PBEsol)

Data for a geometry-optimized TiReC2 structure.

abc: 5.732 5.732 5.732
angles: 132.71 132.71 69.11
Positions (direct):
Ti 0.000 0.000 0.000
Ti 0.750 0.250 0.500
Re 0.250 0.750 0.500
Re 0.500 0.500 0.000
C 0.143 0.625 0.018
C 0.375 0.393 0.518
C 0.607 0.125 0.982
C 0.875 0.857 0.482

## Properties
The value obtained for the total energy is -10.03 eV per atom. The value obtained for the formation energy is 0.2053 eV per atom. Its density of states at the Fermi level is 0.61 states/eV per atom.